1.
# ReAsBr2, relaxed, DFT GGA-PBE
# - Polymorph energy (0 for the lowest one): 0.638 eV/atom
# - Energy: -0.318 Ry/atom
# - Fermi-level density of states: 3.82 states/eV/f.u.
# - Raw formation energy: 0.78 eV/atom
data_ReAsBr2
_cell_length_a 9.9157
_cell_length_b 9.9157
_cell_length_c 9.9157
_cell_angle_alpha 18.42
_cell_angle_beta 18.42
_cell_angle_gamma 18.42
_symmetry_space_group_name_H-M 'P 1'
_symmetry_Int_Tables_number 1
_symmetry_space_group_name_Hall 'P 1'
loop_
_atom_site_label
_atom_site_fract_x
_atom_site_fract_y
_atom_site_fract_z
As1 0.7500 0.7500 0.7500
Br1 0.5193 0.5193 0.5193
Br2 0.9807 0.9807 0.9807
Re1 0.2500 0.2500 0.2500

=====

2.
# Re2AsBr2, relaxed, DFT GGA-PBE
# - Energy: -0.379 Ry/atom
# - Fermi-level density of states: 4.00 states/eV/f.u.
# - Raw formation energy: 1.42 eV/atom
data_Re2AsBr2
_cell_length_a 6.1916
_cell_length_b 6.1916
_cell_length_c 6.1916
_cell_angle_alpha 139.63
_cell_angle_beta 139.63
_cell_angle_gamma 58.41
_symmetry_space_group_name_H-M 'P 1'
_symmetry_Int_Tables_number 1
_symmetry_space_group_name_Hall 'P 1'
loop_
_atom_site_label
_atom_site_fract_x
_atom_site_fract_y
_atom_site_fract_z
Br1 0.6327 0.6327 0.0000
Re1 0.7500 0.2500 0.5000
Re2 0.2500 0.7500 0.5000
As1 0.0000 0.0000 0.0000
Br2 0.3673 0.3673 0.0000

=====

3.
# Re2AsBr, relaxed, DFT GGA-PBE
# - Polymorph energy (0 for the lowest one): 0.605 eV/atom
# - Energy: -0.514 Ry/atom
# - Fermi-level density of states: 3.18 states/eV/f.u.
# - Raw formation energy: 0.82 eV/atom
data_Re2AsBr
_cell_length_a 3.9255
_cell_length_b 4.1572
_cell_length_c 5.7109
_cell_angle_alpha 94.12
_cell_angle_beta 90.00
_cell_angle_gamma 90.00
_symmetry_space_group_name_H-M 'P 1'
_symmetry_Int_Tables_number 1
_symmetry_space_group_name_Hall 'P 1'
loop_
_atom_site_label
_atom_site_fract_x
_atom_site_fract_y
_atom_site_fract_z
Re1 0.0000 0.5518 0.3802
Re2 0.0000 0.9482 0.1198
Br1 0.5000 0.7500 0.7500
As1 0.5000 0.2500 0.2500

=====

4.
# ReAs3Br, relaxed, DFT GGA-PBE
# - Polymorph energy (0 for the lowest one): 1.585 eV/atom
# - Energy: -0.265 Ry/atom
# - Fermi-level density of states: 3.92 states/eV/f.u.
# - Raw formation energy: 2.01 eV/atom
data_ReAs3Br
_cell_length_a 4.9467
_cell_length_b 4.9467
_cell_length_c 4.9467
_cell_angle_alpha 90.00
_cell_angle_beta 90.00
_cell_angle_gamma 90.00
_symmetry_space_group_name_H-M 'P 1'
_symmetry_Int_Tables_number 1
_symmetry_space_group_name_Hall 'P 1'
loop_
_atom_site_label
_atom_site_fract_x
_atom_site_fract_y
_atom_site_fract_z
As1 0.5000 0.0000 0.0000
Br1 0.0000 0.0000 0.0000
As2 0.0000 0.5000 0.0000
Re1 0.5000 0.5000 0.5000
As3 0.0000 0.0000 0.5000

=====

5.
# Re2AsBr, relaxed, DFT GGA-PBE
# - Polymorph energy (0 for the lowest one): 0.725 eV/atom
# - Energy: -0.505 Ry/atom
# - Fermi-level density of states: 3.22 states/eV/f.u.
# - Raw formation energy: 0.94 eV/atom
data_Re2AsBr
_cell_length_a 3.1403
_cell_length_b 3.1403
_cell_length_c 6.5649
_cell_angle_alpha 90.00
_cell_angle_beta 90.00
_cell_angle_gamma 90.00
_symmetry_space_group_name_H-M 'P 1'
_symmetry_Int_Tables_number 1
_symmetry_space_group_name_Hall 'P 1'
loop_
_atom_site_label
_atom_site_fract_x
_atom_site_fract_y
_atom_site_fract_z
Re1 0.0000 0.0000 0.4586
Re2 0.0000 0.0000 0.0414
Br1 0.5000 0.5000 0.7500
As1 0.5000 0.5000 0.2500

=====

6.
# Re2AsBr, relaxed, DFT GGA-PBE
# - Polymorph energy (0 for the lowest one): 0.566 eV/atom
# - Energy: -0.516 Ry/atom
# - Fermi-level density of states: 2.55 states/eV/f.u.
# - Raw formation energy: 0.78 eV/atom
data_Re2AsBr
_cell_length_a 8.3814
_cell_length_b 8.3814
_cell_length_c 8.3814
_cell_angle_alpha 20.67
_cell_angle_beta 20.67
_cell_angle_gamma 20.67
_symmetry_space_group_name_H-M 'P 1'
_symmetry_Int_Tables_number 1
_symmetry_space_group_name_Hall 'P 1'
loop_
_atom_site_label
_atom_site_fract_x
_atom_site_fract_y
_atom_site_fract_z
Br1 0.7500 0.7500 0.7500
Re1 0.9944 0.9944 0.9944
As1 0.2500 0.2500 0.2500
Re2 0.5056 0.5056 0.5056

=====

7.
# Re2AsBr, relaxed, DFT GGA-PBE
# - Polymorph energy (0 for the lowest one): 0.000 eV/atom
# - Energy: -0.558 Ry/atom
# - Fermi-level density of states: 3.68 states/eV/f.u.
# - Raw formation energy: 0.21 eV/atom
data_Re2AsBr
_cell_length_a 3.0051
_cell_length_b 3.0183
_cell_length_c 9.3260
_cell_angle_alpha 80.72
_cell_angle_beta 90.00
_cell_angle_gamma 90.00
_symmetry_space_group_name_H-M 'P 1'
_symmetry_Int_Tables_number 1
_symmetry_space_group_name_Hall 'P 1'
loop_
_atom_site_label
_atom_site_fract_x
_atom_site_fract_y
_atom_site_fract_z
Re1 0.0000 0.7892 0.0466
As1 0.0000 0.6096 0.4060
Re2 0.5000 0.2015 0.2229
Br1 0.5000 0.8997 0.8245

=====

8.
# Re2AsBr, relaxed, DFT GGA-PBE
# - Polymorph energy (0 for the lowest one): 0.859 eV/atom
# - Energy: -0.495 Ry/atom
# - Fermi-level density of states: 2.39 states/eV/f.u.
# - Raw formation energy: 1.07 eV/atom
data_Re2AsBr
_cell_length_a 5.8248
_cell_length_b 5.8248
_cell_length_c 5.8248
_cell_angle_alpha 150.61
_cell_angle_beta 134.48
_cell_angle_gamma 55.12
_symmetry_space_group_name_H-M 'P 1'
_symmetry_Int_Tables_number 1
_symmetry_space_group_name_Hall 'P 1'
loop_
_atom_site_label
_atom_site_fract_x
_atom_site_fract_y
_atom_site_fract_z
Re1 0.9545 0.9545 0.0000
Re2 0.5455 0.5455 0.0000
Br1 0.2500 0.7500 0.5000
As1 0.7500 0.2500 0.5000